Computed, not measured: CsBa3Ir after structural relaxation at the PBE level of DFT.

Cell lengths 7.370, 7.370, 12.662 Å; angles 81.72, 81.72, 61.03 degrees
Atoms (fractional coordinates):
Ba 0.766 0.766 0.585
Ba 0.950 0.950 0.281
Ba 0.571 0.571 0.350
Ba 0.234 0.234 0.415
Ba 0.050 0.050 0.719
Ba 0.429 0.429 0.650
Ir 0.172 0.828 0.500
Ir 0.828 0.172 0.500
Cs 0.321 0.321 0.043
Cs 0.679 0.679 0.957

Properties
Formation energy ... -0.02 eV/atom
Energy above the lowest structure with this stoichiometry ... 0 meV per atom
SG ... C2/m, No. 12
Magnetic moment ... 0.00 μB/cell